1.
Computed, not measured: a relaxed PH3Au crystal at the PBE-GGA level of DFT.

abc: 3.710 3.710 3.710
angles: 90.00 90.00 90.00
Element x y z (fractional)
1 P 0.000 0.000 0.000
2 H 0.000 0.500 0.500
3 H 0.500 0.000 0.500
4 H 0.500 0.500 0.000
5 Au 0.500 0.500 0.500

Properties
* space-group type: Pm-3m

2.
Computed, not measured: a relaxed P2HAu crystal at the PBE-GGA level of DFT.

abc: 7.390 7.390 7.390
angles: 147.44 147.44 46.72
Element x y z (fractional)
1 P 0.013 0.625 0.888
2 P 0.375 0.263 0.388
3 P 0.737 0.125 0.112
4 P 0.875 0.987 0.612
5 H 0.000 0.000 0.000
6 H 0.750 0.250 0.500
7 Au 0.250 0.750 0.500
8 Au 0.500 0.500 0.000

Properties
* space-group type: I-42d

3.
Computed, not measured: a relaxed P3HAu crystal at the PBE-GGA level of DFT.

abc: 4.905 4.905 4.905
angles: 90.00 90.00 90.00
Element x y z (fractional)
1 P 0.000 0.000 0.500
2 P 0.000 0.500 0.000
3 P 0.500 0.000 0.000
4 H 0.500 0.500 0.500
5 Au 0.000 0.000 0.000

Properties
* space-group type: Pm-3m

| no. | electronic total energy (Ry/atom) |
| --- | --- |
| 1 | -0.2072 |
| 2 | -0.2819 |
| 3 | -0.2129 |